# PuInHgAu

A relaxed PuInHgAu crystal (PBE, Alexandria).

Calculated values
Total magnetic moment = 21.95 μB/cell
E_form = -1.13 eV per formula unit
E above lowest polymorph = 0 meV per atom

Unit cell a=7.209 b=7.209 c=7.209 alpha=90.00 beta=90.00 gamma=90.00
Space group F-43m (No. 216)
Asymmetric unit:
Pu: 0.000 0.000 0.000 (multiplicity 4)
In: 0.000 0.000 0.500 (multiplicity 4)
Hg: 0.250 0.250 0.750 (multiplicity 4)
Au: 0.250 0.250 0.250 (multiplicity 4)

# PuInHgAu

A relaxed PuInHgAu crystal (PBE, Alexandria).

Calculated values
Total magnetic moment = 22.12 μB/cell
E_form = -0.67 eV per formula unit
E above lowest polymorph = 116 meV per atom

Unit cell a=7.208 b=7.208 c=7.208 alpha=90.00 beta=90.00 gamma=90.00
Space group F-43m (No. 216)
Asymmetric unit:
Pu: 0.000 0.000 0.000 (multiplicity 4)
In: 0.250 0.250 0.750 (multiplicity 4)
Hg: 0.000 0.000 0.500 (multiplicity 4)
Au: 0.250 0.250 0.250 (multiplicity 4)

# Rb2InHg6Au

A relaxed Rb2InHg6Au crystal (PBE, Alexandria).

Calculated values
Total magnetic moment = 0.00 μB/cell
E_form = -1.52 eV per formula unit

Unit cell a=6.413 b=7.942 c=8.056 alpha=86.11 beta=66.58 gamma=66.45
Space group P-1 (No. 2)
Asymmetric unit:
Rb: 0.036 0.222 0.207 (multiplicity 2)
In: 0.500 0.000 0.500 (multiplicity 1)
Hg: 0.009 0.748 0.243 (multiplicity 2)
Hg: 0.359 0.400 0.386 (multiplicity 2)
Hg: 0.499 0.252 0.758 (multiplicity 2)
Au: 0.500 0.500 0.000 (multiplicity 1)

# RbInHgAu

A relaxed RbInHgAu crystal (PBE, Alexandria).

Calculated values
Total magnetic moment = 0.00 μB/cell
E_form = -0.24 eV per formula unit
E above lowest polymorph = 125 meV per atom

Unit cell a=7.840 b=7.840 c=7.840 alpha=90.00 beta=90.00 gamma=90.00
Space group F-43m (No. 216)
Asymmetric unit:
Rb: 0.000 0.000 0.000 (multiplicity 4)
In: 0.000 0.000 0.500 (multiplicity 4)
Hg: 0.250 0.250 0.250 (multiplicity 4)
Au: 0.250 0.250 0.750 (multiplicity 4)

# RbInHgAu

A relaxed RbInHgAu crystal (PBE, Alexandria).

Calculated values
Total magnetic moment = 0.00 μB/cell
E_form = -0.73 eV per formula unit
E above lowest polymorph = 0 meV per atom

Unit cell a=4.8823 b=4.8823 c=19.4919 alpha=90.00 beta=90.00 gamma=120.00
Space group R3m (No. 160, hexagonal axes)
Asymmetric unit:
Rb: 0.0000 0.0000 0.0000 (multiplicity 3)
In: 0.0000 0.0000 0.1988 (multiplicity 3)
Hg: 0.0000 0.0000 0.7998 (multiplicity 3)
Au: 0.0000 0.0000 0.5239 (multiplicity 3)

# Rb2InHg4Au3

A relaxed Rb2InHg4Au3 crystal (PBE, Alexandria).

Calculated values
Total magnetic moment = 0.00 μB/cell
E_form = -1.72 eV per formula unit

Unit cell a=4.805 b=4.805 c=12.565 alpha=90.00 beta=90.00 gamma=90.00
Space group P-4m2 (No. 115)
Asymmetric unit:
Rb: 0.000 0.500 0.239 (multiplicity 2)
In: 0.000 0.000 0.500 (multiplicity 1)
Hg: 0.000 0.000 0.000 (multiplicity 1)
Hg: 0.000 0.500 0.640 (multiplicity 2)
Hg: 0.500 0.500 0.000 (multiplicity 1)
Au: 0.000 0.500 0.864 (multiplicity 2)
Au: 0.500 0.500 0.500 (multiplicity 1)

# RbInHg2Au

A relaxed RbInHg2Au crystal (PBE, Alexandria).

Calculated values
Total magnetic moment = 0.00 μB/cell
E_form = -1.01 eV per formula unit
E above lowest polymorph = 0 meV per atom

Unit cell a=4.817 b=5.054 c=12.435 alpha=90.00 beta=90.00 gamma=90.00
Space group Imm2 (No. 44)
Asymmetric unit:
Rb: 0.000 0.000 0.000 (multiplicity 2)
In: 0.000 0.500 0.757 (multiplicity 2)
Hg: 0.000 0.000 0.607 (multiplicity 2)
Hg: 0.000 0.500 0.261 (multiplicity 2)
Au: 0.000 0.000 0.379 (multiplicity 2)

# RbInHg2Au

A relaxed RbInHg2Au crystal (PBE, Alexandria).

Calculated values
Total magnetic moment = 0.00 μB/cell
E_form = -0.59 eV per formula unit
E above lowest polymorph = 85 meV per atom

Unit cell a=5.740 b=5.740 c=5.450 alpha=90.00 beta=90.00 gamma=90.00
Space group P4/mmm (No. 123)
Asymmetric unit:
Rb: 0.000 0.000 0.000 (multiplicity 1)
In: 0.500 0.500 0.500 (multiplicity 1)
Hg: 0.000 0.500 0.500 (multiplicity 2)
Au: 0.500 0.500 0.000 (multiplicity 1)

# RbInHg2Au

A relaxed RbInHg2Au crystal (PBE, Alexandria).

Calculated values
Total magnetic moment = 0.00 μB/cell
E_form = -0.46 eV per formula unit
E above lowest polymorph = 109 meV per atom

Unit cell a=5.529 b=5.529 c=5.509 alpha=90.00 beta=90.00 gamma=90.00
Space group P4/mmm (No. 123)
Asymmetric unit:
Rb: 0.000 0.000 0.000 (multiplicity 1)
In: 0.500 0.500 0.000 (multiplicity 1)
Hg: 0.000 0.500 0.500 (multiplicity 2)
Au: 0.500 0.500 0.500 (multiplicity 1)

# Rb2In3HgAu4

A relaxed Rb2In3HgAu4 crystal (PBE, Alexandria).

Calculated values
Total magnetic moment = 0.00 μB/cell
E_form = -2.63 eV per formula unit

Unit cell a=5.081 b=5.081 c=10.938 alpha=90.00 beta=90.00 gamma=90.00
Space group P-4m2 (No. 115)
Asymmetric unit:
Rb: 0.000 0.500 0.246 (multiplicity 2)
In: 0.000 0.500 0.888 (multiplicity 2)
In: 0.500 0.500 0.500 (multiplicity 1)
Hg: 0.000 0.000 0.500 (multiplicity 1)
Au: 0.000 0.000 0.000 (multiplicity 1)
Au: 0.000 0.500 0.632 (multiplicity 2)
Au: 0.500 0.500 0.000 (multiplicity 1)

# InHg2AuS4

A relaxed InHg2AuS4 crystal (PBE, Alexandria).

Calculated values
Formation energy from raw total energies = -0.209 eV/atom
Total magnetic moment = 0.00 μB/cell

Unit cell a=8.369 b=8.378 c=11.828 alpha=90.00 beta=90.00 gamma=90.00
Space group Fmm2 (No. 42)
Asymmetric unit:
In: 0.000 0.000 0.000 (multiplicity 4)
Hg: 0.250 0.250 0.249 (multiplicity 8)
Au: 0.000 0.000 0.496 (multiplicity 4)
S: 0.000 0.249 0.880 (multiplicity 8)
S: 0.250 0.000 0.118 (multiplicity 8)

# In2HgSbAu4

A relaxed In2HgSbAu4 crystal (PBE, Alexandria).

Calculated values
Formation energy from raw total energies = -0.051 eV/atom
Total magnetic moment = 0.00 μB/cell

Unit cell a=8.142 b=11.564 c=8.053 alpha=90.00 beta=90.00 gamma=90.00
Space group Fmm2 (No. 42)
Asymmetric unit:
In: 0.250 0.250 0.000 (multiplicity 8)
Hg: 0.000 0.000 0.243 (multiplicity 4)
Sb: 0.000 0.000 0.750 (multiplicity 4)
Au: 0.000 0.249 0.750 (multiplicity 8)
Au: 0.247 0.000 0.496 (multiplicity 8)

# In2HgSb2Au7

A relaxed In2HgSb2Au7 crystal (PBE, Alexandria).

Calculated values
Formation energy from raw total energies = -0.013 eV/atom
Total magnetic moment = 0.00 μB/cell

Unit cell a=5.881 b=5.748 c=16.482 alpha=90.00 beta=95.76 gamma=90.00
Space group C2/m (No. 12)
Asymmetric unit:
In: 0.079 0.000 0.259 (multiplicity 4)
Hg: 0.000 0.500 0.000 (multiplicity 2)
Sb: 0.108 0.500 0.422 (multiplicity 4)
Au: 0.000 0.000 0.000 (multiplicity 2)
Au: 0.105 0.000 0.423 (multiplicity 4)
Au: 0.207 0.250 0.859 (multiplicity 8)

# InHg2AuSe4

A relaxed InHg2AuSe4 crystal (PBE, Alexandria).

Calculated values
Formation energy from raw total energies = -0.264 eV/atom
Total magnetic moment = 0.00 μB/cell

Unit cell a=8.758 b=8.761 c=12.372 alpha=90.00 beta=90.00 gamma=90.00
Space group Fmm2 (No. 42)
Asymmetric unit:
In: 0.000 0.000 0.000 (multiplicity 4)
Hg: 0.250 0.250 0.250 (multiplicity 8)
Au: 0.000 0.000 0.499 (multiplicity 4)
Se: 0.000 0.248 0.380 (multiplicity 8)
Se: 0.248 0.000 0.619 (multiplicity 8)

# Sm4InHg2Au

A relaxed Sm4InHg2Au crystal (PBE, Alexandria).

Calculated values
Total magnetic moment = 0.02 μB/cell
E_form = -4.38 eV per formula unit

Unit cell a=5.3428 b=5.3428 c=26.0930 alpha=90.00 beta=90.00 gamma=120.00
Space group R-3m (No. 166, hexagonal axes)
Asymmetric unit:
Sm: 0.0000 0.0000 0.1193 (multiplicity 6)
Sm: 0.0000 0.0000 0.3702 (multiplicity 6)
In: 0.0000 0.0000 0.5000 (multiplicity 3)
Hg: 0.0000 0.0000 0.2438 (multiplicity 6)
Au: 0.0000 0.0000 0.0000 (multiplicity 3)

# InSn2HgAu4

A relaxed InSn2HgAu4 crystal (PBE, Alexandria).

Calculated values
Total magnetic moment = 0.00 μB/cell
E_form = -0.70 eV per formula unit

Unit cell a=7.780 b=10.982 c=8.548 alpha=90.00 beta=90.00 gamma=90.00
Space group Fmm2 (No. 42)
Asymmetric unit:
In: 0.000 0.000 0.000 (multiplicity 4)
Sn: 0.250 0.250 0.078 (multiplicity 8)
Hg: 0.000 0.000 0.363 (multiplicity 4)
Au: 0.000 0.218 0.831 (multiplicity 8)
Au: 0.184 0.000 0.667 (multiplicity 8)

# Sr3In2Hg4Au2

A relaxed Sr3In2Hg4Au2 crystal (PBE, Alexandria).

Calculated values
Total magnetic moment = 0.00 μB/cell
E_form = -4.94 eV per formula unit

Unit cell a=4.9782 b=4.9782 c=14.8332 alpha=90.00 beta=90.00 gamma=120.00
Space group P-3m1 (No. 164)
Asymmetric unit:
Sr: 0.0000 0.0000 0.0000 (multiplicity 1)
Sr: 0.0000 0.0000 0.2601 (multiplicity 2)
In: 0.3333 0.6667 0.5754 (multiplicity 2)
Hg: 0.3333 0.6667 0.3751 (multiplicity 2)
Hg: 0.3333 0.6667 0.8697 (multiplicity 2)
Au: 0.3333 0.6667 0.1337 (multiplicity 2)

# Sr2In6HgAu

A relaxed Sr2In6HgAu crystal (PBE, Alexandria).

Calculated values
Total magnetic moment = 0.00 μB/cell
E_form = -2.52 eV per formula unit

Unit cell a=8.155 b=9.712 c=7.658 alpha=90.00 beta=90.00 gamma=90.00
Space group Pmmn (No. 59, origin choice 2)
Asymmetric unit:
Sr: 0.250 0.013 0.192 (multiplicity 4)
In: 0.056 0.250 0.882 (multiplicity 4)
In: 0.074 0.750 0.510 (multiplicity 4)
In: 0.250 0.015 0.699 (multiplicity 4)
Hg: 0.250 0.750 0.899 (multiplicity 2)
Au: 0.250 0.250 0.468 (multiplicity 2)

# Tb4In2HgAu

A relaxed Tb4In2HgAu crystal (PBE, Alexandria).

Calculated values
Total magnetic moment = 0.00 μB/cell
E_form = -4.32 eV per formula unit

Unit cell a=5.2902 b=5.2902 c=25.8637 alpha=90.00 beta=90.00 gamma=120.00
Space group R-3m (No. 166, hexagonal axes)
Asymmetric unit:
Tb: 0.0000 0.0000 0.1215 (multiplicity 6)
Tb: 0.0000 0.0000 0.3719 (multiplicity 6)
In: 0.0000 0.0000 0.2474 (multiplicity 6)
Hg: 0.0000 0.0000 0.5000 (multiplicity 3)
Au: 0.0000 0.0000 0.0000 (multiplicity 3)

# TbInHgAu

A relaxed TbInHgAu crystal (PBE, Alexandria).

Calculated values
Total magnetic moment = 0.00 μB/cell
E_form = -2.13 eV per formula unit

Unit cell a=7.154 b=7.154 c=7.154 alpha=90.00 beta=90.00 gamma=90.00
Space group F-43m (No. 216)
Asymmetric unit:
Tb: 0.000 0.000 0.000 (multiplicity 4)
In: 0.000 0.000 0.500 (multiplicity 4)
Hg: 0.250 0.250 0.750 (multiplicity 4)
Au: 0.250 0.250 0.250 (multiplicity 4)